Computed, not measured: crystalline CoAgIrO6 at its relaxed geometry at the GGA+U level of DFT.

Cell: 5.061 5.061 9.342 Å, 90.00 90.00 120.00°
Sites, in units of the cell vectors:
Co (0.333, 0.667, 0.250)
Co (0.667, 0.333, 0.750)
Ag (0.000, 0.000, 0.000)
Ag (0.000, 0.000, 0.500)
Ir (0.667, 0.333, 0.250)
Ir (0.333, 0.667, 0.750)
O (0.622, 0.627, 0.138)
O (0.005, 0.378, 0.138)
O (0.378, 0.005, 0.638)
O (0.995, 0.622, 0.862)
O (0.373, 0.378, 0.362)
O (0.005, 0.627, 0.362)
O (0.627, 0.005, 0.862)
O (0.622, 0.995, 0.362)
O (0.995, 0.373, 0.638)
O (0.373, 0.995, 0.138)
O (0.627, 0.622, 0.638)
O (0.378, 0.373, 0.862)

## Properties
SG: P-31c (163)
Total DFT energy (no corrections) in eV/cell: -102.03